# AlTl3Bi

An optimized crystal structure of AlTl3Bi (PBE, Alexandria).

Structure (POSCAR):
```
AlTl3Bi
1.0
-1.6046 -3.8608 -4.3720
-3.6103 -2.9039 3.8895
-4.5810 3.6409 -1.5339
Tl Bi Al
3 1 1
direct
0.0000 0.5000 0.0000
0.0000 0.0000 0.5000
0.5000 0.0000 0.0000
0.0000 0.0000 0.0000
0.5000 0.5000 0.5000
```

Calculated values
Excess energy over the best structure of this formula in the dataset (meV per atom): 409
Magnetization (Bohr magnetons per cell): 0.000
Space-group type: Pm-3m (221)
E_form (eV/f.u.): 3.50

# BaScMo2

An optimized crystal structure of BaScMo2 (PBE, Alexandria).

Structure (POSCAR):
```
BaScMo2
1.0
2.9104 0.0528 0.0000
-0.3138 2.8939 0.0000
0.0000 0.0000 10.4348
Ba Mo Sc
1 2 1
direct
0.5000 0.5000 0.7500
0.0000 0.0000 0.0342
0.0000 0.0000 0.4658
0.5000 0.5000 0.2500
```

Calculated values
Excess energy over the best structure of this formula in the dataset (meV per atom): 491
Magnetization (Bohr magnetons per cell): 0.000
Space-group type: Cmmm (65)
E_form (eV/f.u.): 3.50

# VCdAgPb2

An optimized crystal structure of VCdAgPb2 (PBE, Alexandria).

Structure (POSCAR):
```
VCdAgPb2
1.0
-0.1665 -1.2828 5.2709
4.8288 -1.5788 -0.2317
1.6947 4.9971 1.2697
Pb V Ag Cd
2 1 1 1
direct
0.0000 0.0000 0.5000
0.5000 0.0000 0.0000
0.0000 0.5000 0.0000
0.0000 0.0000 0.0000
0.5000 0.5000 0.5000
```

Calculated values
Magnetization (Bohr magnetons per cell): 0.025
Space-group type: P4/mmm (123)
E_form (eV/f.u.): 5.15

| no. | E (hartree per atom) |
| --- | --- |
| 1 | -0.0825 |
| 2 | -0.2427 |
| 3 | -0.1114 |